Material: Dy6YHo12
Method: DFT, PBE
State: optimized geometry

Calculated density, g/cm³: 7.8
Fermi-level density of states, states/eV/atom: 1.2747
Distance to the lowest polymorph of the same formula, eV per atom: 0.2901
Crystal system: trigonal
Formation enthalpy at 0 K, eV per atom: 0.45
Raw total energy, eV/atom: -4.23

abc: 9.305 9.305 9.305
angles: 108.24 108.24 108.24
Atoms (fractional coordinates):
Ho: 0.110 0.890 0.500
Ho: 0.851 0.637 0.637
Ho: 0.500 0.890 0.110
Ho: 0.110 0.500 0.890
Ho: 0.637 0.637 0.851
Ho: 0.890 0.110 0.500
Ho: 0.363 0.363 0.149
Ho: 0.149 0.363 0.363
Ho: 0.363 0.149 0.363
Ho: 0.890 0.500 0.110
Ho: 0.637 0.851 0.637
Ho: 0.500 0.110 0.890
Dy: 0.258 0.681 0.681
Dy: 0.319 0.742 0.319
Dy: 0.681 0.681 0.258
Dy: 0.319 0.319 0.742
Dy: 0.681 0.258 0.681
Dy: 0.742 0.319 0.319
Y: 0.000 0.000 0.000


Material: Dy2Y8Ho3
Method: DFT, PBE
State: optimized geometry

Calculated density, g/cm³: 5.9
Fermi-level density of states, states/eV/atom: 1.8756
Crystal system: monoclinic
Formation enthalpy at 0 K, eV per atom: 0.24
Raw total energy, eV/atom: -5.50

abc: 5.628 7.606 10.822
angles: 110.58 90.02 90.00
Atoms (fractional coordinates):
Dy: 0.499 0.242 0.483
Dy: 0.501 0.758 0.517
Ho: 0.000 0.717 0.000
Ho: 0.000 0.283 0.000
Ho: 0.500 0.000 0.000
Y: 0.500 0.181 0.785
Y: 0.000 0.133 0.267
Y: 0.500 0.395 0.215
Y: 0.000 0.867 0.733
Y: 0.500 0.605 0.785
Y: 0.000 0.331 0.663
Y: 0.500 0.819 0.215
Y: 0.000 0.669 0.337


Material: Dy11Y4Ho9
Method: DFT, PBE
State: optimized geometry

Calculated density, g/cm³: 8.0
Fermi-level density of states, states/eV/atom: 1.4415
Crystal system: orthorhombic
Formation enthalpy at 0 K, eV per atom: 0.06
Raw total energy, eV/atom: -4.85

abc: 3.518 14.675 14.675
angles: 91.47 90.00 90.00
Atoms (fractional coordinates):
Dy: 0.000 0.240 0.240
Dy: 0.000 0.922 0.586
Dy: 0.000 0.414 0.078
Dy: 0.000 0.829 0.171
Dy: 0.000 0.760 0.760
Dy: 0.000 0.586 0.922
Dy: 0.000 0.656 0.344
Dy: 0.000 0.078 0.414
Dy: 0.000 0.171 0.829
Dy: 0.000 0.344 0.656
Dy: 0.000 0.000 0.000
Y: 0.500 0.722 0.553
Y: 0.500 0.278 0.447
Y: 0.500 0.553 0.722
Y: 0.500 0.447 0.278
Ho: 0.500 0.206 0.035
Ho: 0.500 0.869 0.377
Ho: 0.500 0.623 0.131
Ho: 0.500 0.500 0.500
Ho: 0.500 0.794 0.965
Ho: 0.500 0.035 0.206
Ho: 0.500 0.965 0.794
Ho: 0.500 0.377 0.869
Ho: 0.500 0.131 0.623


Material: Dy3YHo2
Method: DFT, PBE
State: optimized geometry

Calculated density, g/cm³: 7.9
Fermi-level density of states, states/eV/atom: 1.6617
Distance to the lowest polymorph of the same formula, eV per atom: 0.0000
Crystal system: triclinic
Formation enthalpy at 0 K, eV per atom: 0.00
Raw total energy, eV/atom: -4.90

abc: 3.627 11.214 11.101
angles: 120.33 99.39 90.00
Atoms (fractional coordinates):
Ho: 0.945 0.819 0.888
Ho: 0.721 0.348 0.444
Ho: 0.055 0.181 0.112
Ho: 0.279 0.652 0.556
Y: 0.611 0.986 0.221
Y: 0.389 0.014 0.779
Dy: 0.054 0.680 0.110
Dy: 0.612 0.486 0.223
Dy: 0.721 0.846 0.444
Dy: 0.946 0.320 0.890
Dy: 0.279 0.154 0.556
Dy: 0.388 0.514 0.777


Material: DyYHoZn
Method: DFT, PBE
State: optimized geometry

Calculated density, g/cm³: 7.3
Fermi-level density of states, states/eV/atom: 1.0940
Crystal system: tetragonal
Formation enthalpy at 0 K, eV per atom: -0.16
Raw total energy, eV/atom: -4.39

abc: 3.561 3.561 8.612
angles: 90.00 90.00 90.00
Atoms (fractional coordinates):
Dy: 0.000 0.000 0.074
Zn: 0.000 0.000 0.569
Y: 0.500 0.500 0.777
Ho: 0.500 0.500 0.365


Material: DyYHoZr
Method: DFT, PBE
State: optimized geometry

Calculated density, g/cm³: 7.2
Fermi-level density of states, states/eV/atom: 1.5402
Crystal system: cubic
Formation enthalpy at 0 K, eV per atom: 0.21
Raw total energy, eV/atom: -5.84

abc: 5.503 5.503 5.503
angles: 60.00 60.00 60.00
Atoms (fractional coordinates):
Ho: 0.250 0.250 0.250
Y: 0.000 0.000 0.000
Dy: 0.750 0.750 0.750
Zr: 0.500 0.500 0.500


Which value of calculated density does entry 1 give? 7.8 g/cm³